No. 1
ZrTaReRh: relaxed, PBE.

Cell and atoms, written as CIF:
```
data_ZrTaReRh
_space_group_name_H-M_alt 'F -4 3 m'
_space_group_IT_number 216
_space_group_name_Hall 'F -4 2 3'
_cell_length_a 6.494
_cell_length_b 6.494
_cell_length_c 6.494
_cell_angle_alpha 90.00
_cell_angle_beta 90.00
_cell_angle_gamma 90.00
loop_
_atom_site_label
_atom_site_type_symbol
_atom_site_fract_x
_atom_site_fract_y
_atom_site_fract_z
Zr1 Zr 0.000 0.000 0.000
Ta1 Ta 0.000 0.000 0.500
Re1 Re 0.250 0.250 0.250
Rh1 Rh 0.250 0.250 0.750
```

Results
Total DFT energy (no corrections)   -167.79 eV for the cell shown

=====

No. 2
ReTcRh2: relaxed, PBE.

Cell and atoms, written as CIF:
```
data_ReTcRh2
_space_group_name_H-M_alt 'P 4 m m'
_space_group_IT_number 99
_cell_length_a 3.248
_cell_length_b 3.248
_cell_length_c 5.571
_cell_angle_alpha 90.00
_cell_angle_beta 90.00
_cell_angle_gamma 90.00
loop_
_space_group_symop_operation_xyz
'x,y,z'
'-y,x,z'
'-x,-y,z'
'y,-x,z'
'-x,y,z'
'y,x,z'
'x,-y,z'
'-y,-x,z'
loop_
_atom_site_label
_atom_site_type_symbol
_atom_site_fract_x
_atom_site_fract_y
_atom_site_fract_z
Re1 Re 0.000 0.000 0.000
Tc1 Tc 0.500 0.500 0.749
Rh1 Rh 0.000 0.000 0.495
Rh2 Rh 0.500 0.500 0.248
```

Results
Total DFT energy (no corrections)   -36.66 eV for the cell shown

=====

Among the records above, which one has the lowest total DFT energy (no corrections)? ZrTaReRh